First-principles (GGA-PBE) data for LaNdSm2Tl after structural relaxation, as listed in Alexandria via LeMat-Bulk.

Output
DFT formation energy	0.0631	eV per atom

Cell: 8.3206 8.3206 6.7929 Å, 90.00 90.00 132.27°
Closest atoms and distances in Å follow each position.
Atoms (fractional coordinates):
La 0.2480 0.7520 0.7500  4 Nd 3.65-3.70, 4 Tl 3.73
La 0.7520 0.2480 0.2500  4 Nd 3.65-3.70, 4 Tl 3.73
Nd 0.3442 0.6558 0.2500  1 Tl 3.01
Nd 0.6558 0.3442 0.7500  1 Tl 3.01
Sm 0.2435 0.2435 0.0000  2 Tl 3.24, 4 Sm 3.28-3.45, 2 Nd 3.39
Sm 0.2435 0.2435 0.5000  2 Tl 3.24, 4 Sm 3.28-3.45, 2 Nd 3.39
Sm 0.7565 0.7565 0.0000  2 Tl 3.24, 4 Sm 3.28-3.45, 2 Nd 3.39
Sm 0.7565 0.7565 0.5000  2 Tl 3.24, 4 Sm 3.28-3.45, 2 Nd 3.39
Tl 0.1463 0.8537 0.2500  1 Nd 3.01, 4 Sm 3.24
Tl 0.8537 0.1463 0.7500  1 Nd 3.01, 4 Sm 3.24

---

First-principles (GGA-PBE) data for La3Nd2Sm6Tl after structural relaxation, as listed in Alexandria via LeMat-Bulk.

Output
DFT formation energy	-0.0271	eV per atom

Cell: 6.2656 6.2656 12.0254 Å, 95.04 95.04 120.10°
Closest atoms and distances in Å follow each position.
Atoms (fractional coordinates):
La 0.0000 0.0000 0.0000  6 La 3.58-3.63, 6 Sm 3.66-3.68
La 0.3299 0.6701 0.0000  6 La 3.58-3.69, 6 Sm 3.66-3.68
La 0.6701 0.3299 0.0000  6 La 3.58-3.69, 6 Sm 3.66-3.68
Nd 0.1661 0.8339 0.5000  6 Sm 3.59-3.60, 3 Nd 3.61-3.62, 3 Tl 3.61-3.62
Nd 0.8339 0.1661 0.5000  6 Sm 3.59-3.60, 3 Nd 3.61-3.62, 3 Tl 3.61-3.62
Sm 0.0933 0.4189 0.2550  6 Sm 3.53-3.66, 1 Tl 3.54, 2 Nd 3.59, 3 La 3.66-3.68
Sm 0.2559 0.2559 0.7469  6 Sm 3.53-3.66, 1 Tl 3.57, 2 Nd 3.60, 3 La 3.66-3.68
Sm 0.4189 0.0933 0.2550  6 Sm 3.53-3.66, 1 Tl 3.54, 2 Nd 3.59, 3 La 3.66-3.68
Sm 0.5811 0.9067 0.7450  6 Sm 3.53-3.66, 1 Tl 3.54, 2 Nd 3.59, 3 La 3.66-3.68
Sm 0.7441 0.7441 0.2531  6 Sm 3.53-3.66, 1 Tl 3.57, 2 Nd 3.60, 3 La 3.66-3.68
Sm 0.9067 0.5811 0.7450  6 Sm 3.53-3.66, 1 Tl 3.54, 2 Nd 3.59, 3 La 3.66-3.68
Tl 0.5000 0.5000 0.5000  6 Sm 3.54-3.57, 6 Nd 3.61-3.62

---

First-principles (GGA-PBE) data for La2Nd4SmTl2 after structural relaxation, as listed in Alexandria via LeMat-Bulk.

Output
DFT formation energy	-0.0934	eV per atom

Cell: 6.4644 6.9037 8.4739 Å, 104.03 99.20 117.81°
Closest atoms and distances in Å follow each position.
Atoms (fractional coordinates):
La 0.2058 0.0118 0.1717  1 Tl 3.33, 4 Nd 3.48-3.67, 1 La 3.53
La 0.7942 0.9882 0.8283  1 Tl 3.33, 4 Nd 3.48-3.67, 1 La 3.53
Nd 0.0954 0.4864 0.2372  3 Tl 3.29-3.64, 1 Sm 3.53, 2 Nd 3.55-3.60, 3 La 3.56-3.67
Nd 0.2693 0.9666 0.6211  2 Tl 3.26-3.30, 1 La 3.48, 2 Nd 3.55-3.60
Nd 0.7307 0.0334 0.3789  2 Tl 3.26-3.30, 1 La 3.48, 2 Nd 3.55-3.60
Nd 0.9046 0.5136 0.7628  3 Tl 3.29-3.64, 1 Sm 3.53, 2 Nd 3.55-3.60, 3 La 3.56-3.67
Sm 0.5000 0.5000 0.0000  2 Tl 3.27, 2 Nd 3.53
Tl 0.3095 0.4487 0.6024  1 Tl 3.15, 4 Nd 3.26-3.31, 1 Sm 3.27, 1 La 3.33
Tl 0.6905 0.5513 0.3976  1 Tl 3.15, 4 Nd 3.26-3.31, 1 Sm 3.27, 1 La 3.33

---

First-principles (GGA-PBE) data for La2NdSm2Tm after structural relaxation, as listed in Alexandria via LeMat-Bulk.

Output
DFT formation energy	0.0556	eV per atom

Cell: 7.1418 5.7753 9.9793 Å, 90.00 90.00 90.00°
Closest atoms and distances in Å follow each position.
Atoms (fractional coordinates):
La 0.0000 0.0000 0.0000  6 La 3.57-3.83, 6 Sm 3.77, 2 Nd 3.86
La 0.2500 0.5000 0.1784  5 Sm 3.27-3.57
La 0.5000 0.0000 0.0000  6 La 3.57-3.83, 6 Sm 3.77, 2 Nd 3.86
La 0.7500 0.5000 0.8216  5 Sm 3.27-3.57
Nd 0.2500 0.0000 0.6575  5 Sm 3.24-3.57
Nd 0.7500 0.0000 0.3425  5 Sm 3.24-3.57
Sm 0.2500 0.0000 0.3329  3 Nd 3.24-3.57, 2 La 3.27
Sm 0.2500 0.5000 0.8351  2 Nd 3.39, 7 La 3.43-3.77, 2 Tm 3.79
Sm 0.7500 0.0000 0.6671  3 Nd 3.24-3.57, 2 La 3.27
Sm 0.7500 0.5000 0.1649  2 Nd 3.39, 7 La 3.43-3.77, 2 Tm 3.79
Tm 0.0000 0.5000 0.5000  2 Tm 3.57, 2 La 3.67, 4 Nd 3.74, 6 Sm 3.78-3.79
Tm 0.5000 0.5000 0.5000  2 Tm 3.57, 2 La 3.67, 4 Nd 3.74, 6 Sm 3.78-3.79

---

First-principles (GGA-PBE) data for La4Nd2SmTm after structural relaxation, as listed in Alexandria via LeMat-Bulk.

Output
DFT formation energy	0.0895	eV per atom

Cell: 6.0829 6.0860 7.6362 Å, 90.00 90.00 90.00°
Closest atoms and distances in Å follow each position.
Atoms (fractional coordinates):
La 0.0000 0.0000 0.2408  4 Nd 3.55-3.63, 2 Tm 3.56, 2 Sm 3.63, 2 La 3.68-3.96
La 0.0000 0.0000 0.7592  4 Nd 3.55-3.63, 2 Tm 3.56, 2 Sm 3.63, 2 La 3.68-3.96
La 0.5000 0.5000 0.2441  2 Tm 3.57, 4 Nd 3.57-3.62, 2 Sm 3.62, 2 La 3.73-3.91
La 0.5000 0.5000 0.7559  2 Tm 3.57, 4 Nd 3.57-3.62, 2 Sm 3.62, 2 La 3.73-3.91
Nd 0.0000 0.5000 0.5000  8 La 3.62-3.63, 2 Tm 3.82
Nd 0.5000 0.0000 0.0000  8 La 3.55-3.57, 2 Sm 3.82
Sm 0.5000 0.0000 0.5000  8 La 3.62-3.63, 2 Nd 3.82
Tm 0.0000 0.5000 0.0000  8 La 3.56-3.57, 2 Nd 3.82

---

First-principles (GGA-PBE) data for LaNd2Sm2Tm after structural relaxation, as listed in Alexandria via LeMat-Bulk.

Output
DFT formation energy	0.0597	eV per atom

Cell: 7.1062 5.7577 9.9849 Å, 90.00 90.00 90.00°
Closest atoms and distances in Å follow each position.
Atoms (fractional coordinates):
La 0.2500 0.0000 0.1544  5 Sm 3.27-3.56
La 0.7500 0.0000 0.8456  5 Sm 3.27-3.56
Nd 0.0000 0.0000 0.5000  6 Nd 3.55-3.82, 6 Sm 3.72-3.75, 2 La 3.88
Nd 0.2500 0.5000 0.6782  5 Sm 3.24-3.56
Nd 0.5000 0.0000 0.5000  6 Nd 3.55-3.82, 6 Sm 3.72-3.75, 2 La 3.88
Nd 0.7500 0.5000 0.3218  5 Sm 3.24-3.56
Sm 0.2500 0.0000 0.8274  2 Nd 3.24, 3 La 3.27-3.56
Sm 0.2500 0.5000 0.3387  7 Nd 3.39-3.75, 2 La 3.42
Sm 0.7500 0.0000 0.1726  2 Nd 3.24, 3 La 3.27-3.56
Sm 0.7500 0.5000 0.6613  7 Nd 3.39-3.75, 2 La 3.42
Tm 0.0000 0.5000 0.0000  2 Tm 3.55, 2 Nd 3.67, 4 La 3.72, 6 Sm 3.80-3.82
Tm 0.5000 0.5000 0.0000  2 Tm 3.55, 2 Nd 3.67, 4 La 3.72, 6 Sm 3.80-3.82

---

- DFT formation energy of number 6 (LaNd2Sm2Tm)?
  0.0597 eV per atom

---

Repeat the fourth record exactly.
First-principles (GGA-PBE) data for La2NdSm2Tm after structural relaxation, as listed in Alexandria via LeMat-Bulk.

Output
DFT formation energy	0.0556	eV per atom

Cell: 7.1418 5.7753 9.9793 Å, 90.00 90.00 90.00°
Closest atoms and distances in Å follow each position.
Atoms (fractional coordinates):
La 0.0000 0.0000 0.0000  6 La 3.57-3.83, 6 Sm 3.77, 2 Nd 3.86
La 0.2500 0.5000 0.1784  5 Sm 3.27-3.57
La 0.5000 0.0000 0.0000  6 La 3.57-3.83, 6 Sm 3.77, 2 Nd 3.86
La 0.7500 0.5000 0.8216  5 Sm 3.27-3.57
Nd 0.2500 0.0000 0.6575  5 Sm 3.24-3.57
Nd 0.7500 0.0000 0.3425  5 Sm 3.24-3.57
Sm 0.2500 0.0000 0.3329  3 Nd 3.24-3.57, 2 La 3.27
Sm 0.2500 0.5000 0.8351  2 Nd 3.39, 7 La 3.43-3.77, 2 Tm 3.79
Sm 0.7500 0.0000 0.6671  3 Nd 3.24-3.57, 2 La 3.27
Sm 0.7500 0.5000 0.1649  2 Nd 3.39, 7 La 3.43-3.77, 2 Tm 3.79
Tm 0.0000 0.5000 0.5000  2 Tm 3.57, 2 La 3.67, 4 Nd 3.74, 6 Sm 3.78-3.79
Tm 0.5000 0.5000 0.5000  2 Tm 3.57, 2 La 3.67, 4 Nd 3.74, 6 Sm 3.78-3.79

---

- What is the formula in the first record?
  LaNdSm2Tl

---

- Which formula does entry 2 have?
  La3Nd2Sm6Tl